Entry from the Alexandria database: a relaxed structure of RbH2Pt (GGA-PBEsol).

Cell: 6.139 6.139 6.139 Å, 90.00 90.00 90.00°
Sites, in units of the cell vectors:
Rb 0.000 0.000 0.000
Rb 0.000 0.500 0.500
Rb 0.500 0.000 0.500
Rb 0.500 0.500 0.000
H 0.250 0.250 0.250
H 0.250 0.250 0.750
H 0.250 0.750 0.250
H 0.250 0.750 0.750
H 0.750 0.250 0.250
H 0.750 0.250 0.750
H 0.750 0.750 0.250
H 0.750 0.750 0.750
Pt 0.000 0.000 0.500
Pt 0.000 0.500 0.000
Pt 0.500 0.000 0.000
Pt 0.500 0.500 0.500

Output
space group: No. 225
DFT total energy: -41.825 eV for the cell shown
Fermi-level density of states: 0.4689 states/eV per atom
size of the total moment: 0.0001 μB per atom

=====

Entry from the Alexandria database: a relaxed structure of RbH2Pt2 (GGA-PBEsol).

Cell: 3.805 3.805 11.813 Å, 90.00 90.00 90.00°
Sites, in units of the cell vectors:
Rb 0.000 0.000 0.000
Rb 0.500 0.500 0.500
H 0.000 0.500 0.250
H 0.000 0.500 0.750
H 0.500 0.000 0.250
H 0.500 0.000 0.750
Pt 0.000 0.000 0.261
Pt 0.000 0.000 0.739
Pt 0.500 0.500 0.239
Pt 0.500 0.500 0.761

Output
space group: No. 139
DFT total energy: -44.236 eV for the cell shown
Fermi-level density of states: 0.2166 states/eV per atom
size of the total moment: 0.0000 μB per atom

=====

Entry from the Alexandria database: a relaxed structure of Y2ReHPt (GGA-PBEsol).

Cell: 4.820 4.820 3.547 Å, 90.00 90.00 90.00°
Sites, in units of the cell vectors:
Y 0.000 0.500 0.000
Y 0.500 0.000 0.000
Re 0.000 0.000 0.500
H 0.000 0.000 0.000
Pt 0.500 0.500 0.500

Output
space group: No. 123
DFT total energy: -39.376 eV for the cell shown
Fermi-level density of states: 0.3674 states/eV per atom
size of the total moment: 0.0000 μB per atom

=====

Entry from the Alexandria database: a relaxed structure of HPtRh3 (GGA-PBEsol).

Cell: 3.863 3.863 3.863 Å, 90.00 90.00 90.00°
Sites, in units of the cell vectors:
H 0.000 0.000 0.000
Pt 0.500 0.500 0.500
Rh 0.000 0.000 0.500
Rh 0.000 0.500 0.000
Rh 0.500 0.000 0.000

Output
space group: No. 221
DFT total energy: -34.674 eV for the cell shown
Fermi-level density of states: 1.3375 states/eV per atom
size of the total moment: 0.0003 μB per atom

=====

Entry from the Alexandria database: a relaxed structure of H2PtRh2 (GGA-PBEsol).

Cell: 3.399 3.399 8.222 Å, 90.00 90.00 90.00°
Sites, in units of the cell vectors:
H 0.000 0.500 0.250
H 0.000 0.500 0.750
H 0.500 0.000 0.250
H 0.500 0.000 0.750
Pt 0.000 0.000 0.000
Pt 0.500 0.500 0.500
Rh 0.000 0.000 0.339
Rh 0.000 0.000 0.661
Rh 0.500 0.500 0.161
Rh 0.500 0.500 0.839

Output
space group: No. 139
DFT total energy: -59.312 eV for the cell shown
Fermi-level density of states: 0.7431 states/eV per atom
size of the total moment: 0.0000 μB per atom

=====

Entry from the Alexandria database: a relaxed structure of Ta2HRuPt (GGA-PBEsol).

Cell: 4.063 4.063 3.891 Å, 90.00 90.00 90.00°
Sites, in units of the cell vectors:
Ta 0.000 0.500 0.000
Ta 0.500 0.000 0.000
H 0.000 0.000 0.000
Ru 0.000 0.000 0.500
Pt 0.500 0.500 0.500

Output
space group: No. 123
DFT total energy: -47.603 eV for the cell shown
Fermi-level density of states: 0.5261 states/eV per atom
size of the total moment: 0.0000 μB per atom

=====

Entry from the Alexandria database: a relaxed structure of HPtS2 (GGA-PBEsol).

Cell: 5.847 5.847 5.847 Å, 90.00 90.00 90.00°
Sites, in units of the cell vectors:
H 0.000 0.000 0.000
H 0.000 0.500 0.500
H 0.500 0.000 0.500
H 0.500 0.500 0.000
Pt 0.000 0.000 0.500
Pt 0.000 0.500 0.000
Pt 0.500 0.000 0.000
Pt 0.500 0.500 0.500
S 0.250 0.250 0.250
S 0.250 0.250 0.750
S 0.250 0.750 0.250
S 0.250 0.750 0.750
S 0.750 0.250 0.250
S 0.750 0.250 0.750
S 0.750 0.750 0.250
S 0.750 0.750 0.750

Output
space group: No. 225
DFT total energy: -66.456 eV for the cell shown
Fermi-level density of states: 0.9269 states/eV per atom
size of the total moment: 0.0001 μB per atom

=====

Entry from the Alexandria database: a relaxed structure of Sc3HPt (GGA-PBEsol).

Cell: 4.271 4.271 4.271 Å, 90.00 90.00 90.00°
Sites, in units of the cell vectors:
Sc 0.000 0.000 0.500
Sc 0.000 0.500 0.000
Sc 0.500 0.000 0.000
H 0.000 0.000 0.000
Pt 0.500 0.500 0.500

Output
space group: No. 221
DFT total energy: -33.005 eV for the cell shown
Fermi-level density of states: 1.5573 states/eV per atom
size of the total moment: 0.0011 μB per atom

=====

Entry from the Alexandria database: a relaxed structure of Sc2H2Pt (GGA-PBEsol).

Cell: 3.249 3.249 11.436 Å, 90.00 90.00 90.00°
Sites, in units of the cell vectors:
Sc 0.000 0.000 0.144
Sc 0.000 0.000 0.856
Sc 0.500 0.500 0.356
Sc 0.500 0.500 0.644
H 0.000 0.500 0.250
H 0.000 0.500 0.750
H 0.500 0.000 0.250
H 0.500 0.000 0.750
Pt 0.000 0.000 0.500
Pt 0.500 0.500 0.000

Output
space group: No. 139
DFT total energy: -62.636 eV for the cell shown
Fermi-level density of states: 0.4700 states/eV per atom
size of the total moment: 0.0000 μB per atom

=====

Entry from the Alexandria database: a relaxed structure of ScHPt3 (GGA-PBEsol).

Cell: 4.016 4.016 4.016 Å, 90.00 90.00 90.00°
Sites, in units of the cell vectors:
Sc 0.000 0.000 0.000
H 0.500 0.500 0.500
Pt 0.000 0.500 0.500
Pt 0.500 0.000 0.500
Pt 0.500 0.500 0.000

Output
space group: No. 221
DFT total energy: -34.706 eV for the cell shown
Fermi-level density of states: 0.0221 states/eV per atom
size of the total moment: 0.0000 μB per atom

=====

Entry from the Alexandria database: a relaxed structure of HPtSe2 (GGA-PBEsol).

Cell: 5.341 5.341 9.443 Å, 90.00 90.00 90.00°
Sites, in units of the cell vectors:
H 0.000 0.000 0.000
H 0.000 0.500 0.250
H 0.500 0.000 0.750
H 0.500 0.500 0.500
Pt 0.000 0.000 0.500
Pt 0.000 0.500 0.750
Pt 0.500 0.000 0.250
Pt 0.500 0.500 0.000
Se 0.198 0.750 0.125
Se 0.250 0.198 0.875
Se 0.250 0.302 0.375
Se 0.302 0.750 0.625
Se 0.698 0.250 0.625
Se 0.750 0.698 0.375
Se 0.750 0.802 0.875
Se 0.802 0.250 0.125

Output
space group: No. 122
DFT total energy: -68.135 eV for the cell shown
Fermi-level density of states: 0.7419 states/eV per atom
size of the total moment: 0.0000 μB per atom

=====

Entry from the Alexandria database: a relaxed structure of H2PtSe (GGA-PBEsol).

Cell: 5.421 5.421 5.421 Å, 90.00 90.00 90.00°
Sites, in units of the cell vectors:
H 0.250 0.250 0.250
H 0.250 0.250 0.750
H 0.250 0.750 0.250
H 0.250 0.750 0.750
H 0.750 0.250 0.250
H 0.750 0.250 0.750
H 0.750 0.750 0.250
H 0.750 0.750 0.750
Pt 0.000 0.000 0.000
Pt 0.000 0.500 0.500
Pt 0.500 0.000 0.500
Pt 0.500 0.500 0.000
Se 0.000 0.000 0.500
Se 0.000 0.500 0.000
Se 0.500 0.000 0.000
Se 0.500 0.500 0.500

Output
space group: No. 225
DFT total energy: -57.994 eV for the cell shown
Fermi-level density of states: 0.2330 states/eV per atom
size of the total moment: 0.0000 μB per atom

=====

Entry from the Alexandria database: a relaxed structure of HPtSe3 (GGA-PBEsol).

Cell: 4.208 4.208 4.208 Å, 90.00 90.00 90.00°
Sites, in units of the cell vectors:
H 0.000 0.000 0.000
Pt 0.500 0.500 0.500
Se 0.000 0.000 0.500
Se 0.000 0.500 0.000
Se 0.500 0.000 0.000

Output
space group: No. 221
DFT total energy: -17.792 eV for the cell shown
Fermi-level density of states: 0.7344 states/eV per atom
size of the total moment: 0.0000 μB per atom

=====

Entry from the Alexandria database: a relaxed structure of HPtSe2 (GGA-PBEsol).

Cell: 3.860 3.860 18.005 Å, 90.00 90.00 120.00°
Sites, in units of the cell vectors:
H 0.000 0.000 0.000
H 0.333 0.667 0.667
H 0.667 0.333 0.333
Pt 0.000 0.000 0.500
Pt 0.333 0.667 0.167
Pt 0.667 0.333 0.833
Se 0.000 0.000 0.099
Se 0.000 0.000 0.901
Se 0.333 0.667 0.568
Se 0.333 0.667 0.765
Se 0.667 0.333 0.235
Se 0.667 0.333 0.432

Output
space group: No. 166
DFT total energy: -55.064 eV for the cell shown
Fermi-level density of states: 0.4328 states/eV per atom
size of the total moment: 0.0000 μB per atom